Record 1
The following is a DFT calculation (PBE) of a geometry-optimized GeTeN2F structure.

Summary:
Offset from the most stable computed form: 1356 meV per atom
Symmetry: P4/mmm
Energy relative to the elements, uncorrected: 8.9 eV per formula unit
Energy: -3.48 eV/atom

Unit cell a=4.620 b=4.620 c=4.236 alpha=90.00 beta=90.00 gamma=90.00
Fractional coordinates of all 5 atoms:
Ge 0.000 0.000 0.000
Te 0.500 0.500 0.000
N 0.000 0.500 0.500
N 0.500 0.000 0.500
F 0.500 0.500 0.500

Record 2
The following is a DFT calculation (PBE) of a geometry-optimized GeTeN2F structure.

Summary:
Offset from the most stable computed form: 299 meV per atom
Symmetry: P4/mmm
Energy relative to the elements, uncorrected: 3.6 eV per formula unit
Energy: -4.54 eV/atom

Unit cell a=4.178 b=4.178 c=4.220 alpha=90.00 beta=90.00 gamma=90.00
Fractional coordinates of all 5 atoms:
Ge 0.000 0.000 0.000
Te 0.500 0.500 0.500
N 0.000 0.500 0.500
N 0.500 0.000 0.500
F 0.500 0.500 0.000

Record 3
The following is a DFT calculation (PBE) of a geometry-optimized GeTeN2F structure.

Summary:
Offset from the most stable computed form: 0 meV per atom
Symmetry: P4/mmm
Energy relative to the elements, uncorrected: 2.1 eV per formula unit
Energy: -4.83 eV/atom

Unit cell a=3.989 b=3.989 c=3.841 alpha=90.00 beta=90.00 gamma=90.00
Fractional coordinates of all 5 atoms:
Ge 0.000 0.000 0.000
Te 0.500 0.500 0.500
N 0.000 0.500 0.000
N 0.500 0.000 0.000
F 0.000 0.000 0.500

Record 4
The following is a DFT calculation (PBE) of a geometry-optimized GeTe2NF structure.

Summary:
Offset from the most stable computed form: 484 meV per atom
Symmetry: P4/mmm
Energy relative to the elements, uncorrected: 5.0 eV per formula unit
Energy: -3.21 eV/atom

Unit cell a=4.777 b=4.777 c=4.378 alpha=90.00 beta=90.00 gamma=90.00
Fractional coordinates of all 5 atoms:
Ge 0.000 0.000 0.000
Te 0.000 0.500 0.500
Te 0.500 0.000 0.500
N 0.500 0.500 0.000
F 0.500 0.500 0.500

Record 5
The following is a DFT calculation (PBE) of a geometry-optimized GeTe2NF structure.

Summary:
Offset from the most stable computed form: 0 meV per atom
Symmetry: P4/mmm
Energy relative to the elements, uncorrected: 2.6 eV per formula unit
Energy: -3.69 eV/atom

Unit cell a=5.628 b=5.628 c=3.457 alpha=90.00 beta=90.00 gamma=90.00
Fractional coordinates of all 5 atoms:
Ge 0.000 0.000 0.000
Te 0.000 0.500 0.000
Te 0.500 0.000 0.000
N 0.000 0.000 0.500
F 0.500 0.500 0.500

Record 6
The following is a DFT calculation (PBE) of a geometry-optimized TiGeNF2 structure.

Summary:
Offset from the most stable computed form: 0 meV per atom
Symmetry: P4/mmm
Energy relative to the elements, uncorrected: -6.8 eV per formula unit
Energy: -6.28 eV/atom

Unit cell a=4.022 b=4.022 c=4.014 alpha=90.00 beta=90.00 gamma=90.00
Fractional coordinates of all 5 atoms:
Ti 0.000 0.000 0.000
Ge 0.500 0.500 0.500
N 0.000 0.000 0.500
F 0.000 0.500 0.000
F 0.500 0.000 0.000

One value per record, in order, for total magnetic moment: 4.711; 0.000; 0.000; 0.001; 0.000; 0.632 Bohr magnetons per cell.